(P)
BeNbS GGA-PBE relaxed; D(E_F) = 0.30 states/eV per atom
1.0
4.783 0.000 0.000
0.000 3.135 0.000
-1.707 0.000 5.744
Be Nb S
2 2 2
Cartesian
2.351 0.000 2.962
-0.815 0.000 4.567
1.437 1.567 4.952
-0.184 1.567 2.569
4.609 0.000 0.524
2.192 1.567 1.654

***

(Q)
BeNbS GGA-PBE relaxed; D(E_F) = 0.26 states/eV per atom
1.0
1.029 -1.350 -6.659
2.685 -2.881 -4.581
-8.422 1.580 5.040
Be Nb S
2 2 2
Cartesian
0.305 -2.449 -6.841
-5.014 -0.202 0.642
-0.703 -1.371 -2.878
-4.006 -1.281 -3.322
2.607 -3.890 -9.987
-7.316 1.238 3.788

***

(P) (94 meV/atom below the next structure)

***

(P)
BeNbS3 GGA-PBE relaxed; D(E_F) = 0.57 states/eV per atom
1.0
-1.437 2.395 3.234
-3.598 0.773 -2.171
-1.801 -3.454 1.757
Be Nb S
1 1 3
Cartesian
0.000 0.000 0.000
-3.419 -0.143 1.410
-1.799 0.386 -1.086
-0.901 -1.727 0.878
-0.719 1.197 1.617

***

(Q)
BeNbS3 GGA-PBE relaxed; D(E_F) = 0.52 states/eV per atom
1.0
-2.403 -0.360 -4.142
4.154 -0.014 -2.409
0.169 -4.789 0.318
Be Nb S
1 1 3
Cartesian
0.960 -2.581 -3.116
0.000 0.000 0.000
2.077 -0.007 -1.204
0.084 -2.394 0.159
-1.202 -0.180 -2.071

***

(P) (69 meV/atom below the next structure)

***

(P)
Be2Nb2Sb GGA-PBE relaxed; D(E_F) = 0.82 states/eV per atom
1.0
-2.339 2.534 5.330
1.845 -5.132 3.250
3.199 1.567 0.659
Sb Nb Be
2 4 4
Cartesian
0.000 0.000 0.000
-0.247 -1.299 4.290
2.434 -2.240 3.466
1.537 -1.731 6.611
0.269 1.209 5.772
1.167 0.700 2.628
0.731 -3.572 4.948
-0.945 -0.896 6.720
-1.225 0.974 3.632
0.451 -1.702 1.859

***

(Q)
Be2Nb2Sb GGA-PBE relaxed; D(E_F) = 1.09 states/eV per atom
1.0
-3.309 -3.126 2.300
2.466 -4.028 -1.926
2.515 -0.115 3.461
Sb Nb Be
1 2 2
Cartesian
0.000 0.000 0.000
1.233 -2.014 -0.963
-1.655 -1.563 1.150
0.836 -3.634 1.918
1.257 -0.058 1.730

***

(P) (1762 meV/atom below the next structure)

***

(P)
BeNbSb2Te GGA-PBE relaxed; D(E_F) = 0.60 states/eV per atom
1.0
5.390 0.000 0.000
0.000 5.390 0.000
0.000 0.000 5.348
Sb Nb Te Be
2 1 1 1
Cartesian
0.000 2.695 0.000
2.695 0.000 0.000
0.000 0.000 0.000
0.000 0.000 2.674
2.695 2.695 2.674

***

(Q)
BeNbSb2Te GGA-PBE relaxed; D(E_F) = 1.36 states/eV per atom
1.0
-2.342 -3.123 2.637
2.354 -3.515 -2.073
3.687 0.317 3.649
Sb Nb Te Be
2 1 1 1
Cartesian
1.177 -1.757 -1.036
-1.171 -1.562 1.319
1.850 -3.160 2.107
1.843 0.158 1.824
0.000 0.000 0.000

***

(P) (32 meV/atom below the next structure)